(1)
NiIrAu2S: relaxed, PBE.

Properties
- VASP energy (eV per atom) = -3.689
- crystal system = tetragonal
- E_form (uncorrected) (eV/f.u.) = 6.9
- calculated density (g cm⁻³) = 9.86

Cell: 5.057 4.459 5.057 Å, 90.00 90.00 90.00°
Site moments in Bohr magnetons follow the coordinates.
Fractional positions:
Ni  0.000  0.500  0.000  0.64
Au  0.500  0.000  0.000  0.04
Au  0.000  0.000  0.500  0.09
S  0.500  0.500  0.500  0.07
Ir  0.000  0.000  0.000  0.45

---

(2)
ScNiIrAu2: relaxed, PBE.

Properties
- energy of formation from the pure elements (eV/atom) = 0.55
- VASP energy (eV per atom) = -4.953
- crystal system = tetragonal
- calculated density (g cm⁻³) = 12.02

Cell: 4.662 4.386 4.662 Å, 90.00 90.00 90.00°
Fractional positions:
Sc  0.000  0.500  0.000
Au  0.500  0.000  0.000
Au  0.000  0.000  0.500
Ni  0.000  0.000  0.000
Ir  0.500  0.500  0.500

---

(3)
TcNi2IrAu: relaxed, PBE.

Properties
- energy of formation from the pure elements (eV/atom) = 1.77
- VASP energy (eV per atom) = -5.043
- crystal system = tetragonal
- calculated density (g cm⁻³) = 10.87

Cell: 4.325 4.938 4.325 Å, 90.00 90.00 90.00°
Fractional positions:
Au  0.000  0.500  0.000
Ni  0.500  0.000  0.000
Ni  0.000  0.000  0.500
Tc  0.000  0.000  0.000
Ir  0.500  0.500  0.500

---

(4)
YNiIr2Au: relaxed, PBE.

Properties
- energy of formation from the pure elements (eV/atom) = 1.92
- VASP energy (eV per atom) = -4.733
- crystal system = tetragonal
- calculated density (g cm⁻³) = 9.38

Cell: 4.961 5.243 4.961 Å, 90.00 90.00 90.00°
Site moments in Bohr magnetons follow the coordinates.
Fractional positions:
Ni  0.500  0.500  0.500  1.00
Ir  0.500  0.000  0.000  0.44
Ir  0.000  0.000  0.500  0.38
Y  0.000  0.000  0.000  -0.02
Au  0.000  0.500  0.000  0.02

---

Q: VASP energy of number 4 (YNiIr2Au)?
A: -4.733 eV per atom

---

Q: Among the records above, which one has the highest calculated density?
A: ScNiIrAu2

---

Q: Which of these has the lowest calculated density?
A: YNiIr2Au

---

Q: Look up the VASP energy of the second one.
A: -4.953 eV per atom